DFT (PBE) results for CrCuIr2 after structural relaxation.

Cell lengths 5.442, 7.227, 2.737 Å; angles 90.00, 90.00, 90.00 degrees
Space group Cmmm (No. 65)
Asymmetric unit:
Cr (0.000, 0.000, 0.000) [2 per cell]
Cu (0.000, 0.500, 0.000) [2 per cell]
Ir (0.250, 0.250, 0.500) [4 per cell]

D(E_F) in states/eV/atom: 1.670
Total energy in eV/atom: -7.782
Volume in Å³/f.u.: 54
Energy relative to the elements in eV per atom: 0.079